A crystal of La4Al6O15 relaxed with PBEsol, computed with meta-GGA SCAN.

Computed properties:
total moment = 0.000 μB/atom
DOS at the Fermi energy = 0.0 states/eV/cell
VASP energy = -0.58779 hartree per atom
raw formation energy = -3.4986 eV per atom

extended XYZ file:
```
50
Lattice="4.994 0.000 0.000 -2.497 6.416 0.017 0.000 -1.130 20.832" Properties=species:S:1:pos:R:3 pbc="T T T"
Al 1.581 4.307 0.546
Al 3.710 0.248 14.472
Al 3.555 0.033 19.048
Al 1.213 4.473 16.792
Al -1.058 5.253 1.801
Al 4.078 1.544 9.887
Al -1.213 5.038 6.376
Al -1.581 3.742 10.962
Al 1.058 4.688 12.217
Al 1.439 0.598 8.632
Al 0.917 0.979 20.303
Al 1.284 0.813 4.057
O 0.484 2.345 4.312
O 1.792 -0.013 19.141
O 4.038 1.324 17.944
O 3.202 0.552 8.725
O 3.026 0.708 4.116
O 0.705 5.299 1.708
O 4.462 -0.848 15.624
O -1.541 3.962 2.905
O -0.902 3.277 9.366
O 1.595 2.574 1.067
O 0.529 5.144 6.317
O 2.981 3.507 6.121
O -0.705 4.734 12.124
O 0.758 0.293 2.466
O -0.484 1.780 14.728
O 3.399 2.009 11.483
O 1.739 4.994 18.383
O -0.529 4.579 16.733
O 0.710 0.947 10.195
O 4.236 -0.272 12.881
O 0.902 2.712 19.782
O -1.739 5.559 7.967
O 4.284 0.382 20.611
O -1.787 4.904 0.238
O 1.787 4.339 10.654
O 0.956 1.889 7.528
O 2.013 2.942 16.537
O 0.532 -0.283 5.208
O 1.541 3.397 13.321
O 1.969 0.143 14.532
La 1.460 4.461 4.175
La -1.367 3.521 18.700
La 1.037 0.825 16.674
La 3.958 1.391 6.258
La 1.367 4.086 8.285
La -1.460 3.896 14.591
La 1.130 1.201 12.564
La 3.864 1.766 2.148
```

***

A crystal of La3AlO relaxed with PBEsol, computed with meta-GGA SCAN.

Computed properties:
total moment = 0.000 μB/atom
DOS at the Fermi energy = 2.0 states/eV/cell
VASP energy = -1.10733 hartree per atom
raw formation energy = -1.4724 eV per atom

extended XYZ file:
```
5
Lattice="-0.633 -1.691 4.628 1.236 -4.572 -1.502 4.770 0.960 1.003" Properties=species:S:1:pos:R:3 pbc="T T T"
La 0.301 -3.132 1.563
La 3.003 -1.806 -0.249
La 2.069 -0.366 2.816
Al 0.000 0.000 0.000
O 2.686 -2.652 2.065
```

***

A crystal of La2Al4O9 relaxed with PBEsol, computed with meta-GGA SCAN.

Computed properties:
total moment = 0.000 μB/atom
DOS at the Fermi energy = 0.0 states/eV/cell
VASP energy = -0.55174 hartree per atom
raw formation energy = -3.4603 eV per atom

extended XYZ file:
```
30
Lattice="-2.620 4.609 -2.011 -3.695 -4.307 -5.059 -6.228 -1.134 5.514" Properties=species:S:1:pos:R:3 pbc="T T T"
La -5.508 -2.278 1.955
La -4.414 -3.163 -1.500
La -8.273 -4.599 0.238
La -1.650 -0.843 0.218
O -4.795 1.511 -2.322
O -2.741 -2.882 -3.035
O -4.511 1.186 0.601
O -3.472 -0.818 -1.307
O -8.383 -0.265 2.321
O -1.310 2.304 -1.005
O -5.721 -3.045 -3.480
O -7.747 -2.343 0.767
O -6.551 -4.262 -1.232
O -7.181 -2.559 3.491
O -4.159 -0.567 -3.876
O -6.271 -0.416 -0.778
O -3.371 -1.180 1.688
O -8.031 -2.018 -2.156
O -9.070 -0.015 -0.249
O -7.045 -0.716 -4.496
O -5.497 -0.116 2.941
O -6.821 2.212 1.925
Al -5.491 -1.576 -4.452
Al -4.737 0.379 -0.955
Al -2.524 -0.964 -3.048
Al -3.791 1.266 -4.021
Al -5.057 2.852 1.265
Al -7.805 -1.211 -0.600
Al -7.051 0.743 2.897
Al -3.790 0.623 2.238
```

***

A crystal of LaAl12O19 relaxed with PBEsol, computed with meta-GGA SCAN.

Computed properties:
total moment = 0.014 μB/atom
DOS at the Fermi energy = 7.1 states/eV/cell
VASP energy = -0.41405 hartree per atom
raw formation energy = -3.3132 eV per atom

extended XYZ file:
```
64
Lattice="-3.296 -4.470 0.729 5.424 -0.689 -1.217 4.826 -0.047 21.532" Properties=species:S:1:pos:R:3 pbc="T T T"
O 4.239 -2.593 13.745
O 7.068 -1.993 19.738
O -0.891 -2.268 3.588
O 1.750 -2.603 2.996
O 4.337 -1.274 0.231
O 7.842 -2.939 17.441
O 6.805 -0.425 17.679
O 0.069 -2.276 7.878
O 4.469 -3.686 9.111
O 3.331 -0.928 9.373
O 2.565 -3.677 0.623
O 3.143 -0.031 14.026
O 0.731 -0.007 3.260
O 4.107 -0.040 18.325
O 4.391 -1.538 20.440
O 2.629 -3.928 20.830
O 3.543 -3.418 4.833
O 5.039 -1.389 4.502
O 1.421 -0.904 0.885
O 1.106 -4.790 7.640
O 2.490 -1.510 11.952
O 5.199 -2.603 18.034
O 2.577 -1.076 5.055
O 0.145 -4.779 3.351
O 3.402 -1.788 16.174
O 1.749 -3.230 9.621
O 6.232 -1.296 8.722
O 6.880 -2.928 13.152
O 3.634 -4.283 11.689
O 5.529 -4.296 20.179
O 2.713 -2.612 7.285
O 4.368 -4.129 15.953
O 5.202 -1.975 11.411
O 1.906 -3.817 16.505
O 0.718 -3.913 12.343
O 1.694 -0.017 7.559
O 5.844 -0.417 13.390
O -0.117 -3.212 1.294
Al 5.260 -3.563 12.566
Al 2.753 -4.199 8.218
Al 3.574 -0.035 15.946
Al 1.161 -0.011 5.180
Al 0.049 -3.856 8.825
Al 2.644 -1.950 -0.002
Al 1.692 -1.628 8.462
Al 4.307 -3.255 21.036
Al 6.888 -1.355 12.206
Al 3.434 -1.958 3.521
Al 5.563 -1.020 18.902
Al 2.150 -3.234 11.413
Al -1.304 -3.837 2.729
Al 8.266 -1.363 18.295
Al 4.801 -1.971 9.621
Al 2.412 -0.024 10.762
Al 3.516 -3.248 17.505
Al 4.208 -1.015 12.807
Al 4.010 -1.964 6.091
Al 4.825 -0.047 21.528
Al 0.325 -1.629 2.369
Al 2.940 -3.242 14.936
Al 6.623 -3.591 18.658
Al 1.376 -4.177 2.128
La 6.143 -1.984 15.609
La 0.823 -3.221 5.492
```

***

A crystal of LaAlP2O relaxed with PBEsol, computed with meta-GGA SCAN.

Computed properties:
total moment = 0.002 μB/atom
DOS at the Fermi energy = 5.0 states/eV/cell
VASP energy = -0.56830 hartree per atom
raw formation energy = 0.1129 eV per atom

extended XYZ file:
```
5
Lattice="-2.352 3.391 0.294 -3.178 -2.524 3.690 3.204 1.873 4.039" Properties=species:S:1:pos:R:3 pbc="T T T"
O -1.176 1.695 0.147
P -1.589 -1.262 1.845
P 1.602 0.936 2.020
Al -1.163 1.370 4.012
La 0.000 0.000 0.000
```

***

A crystal of LaAlPO2 relaxed with PBEsol, computed with meta-GGA SCAN.

Computed properties:
total moment = 0.000 μB/atom
DOS at the Fermi energy = 4.1 states/eV/cell
VASP energy = -0.61463 hartree per atom
raw formation energy = -1.9814 eV per atom

extended XYZ file:
```
5
Lattice="-0.931 -3.255 -2.011 -0.722 -1.883 3.382 -4.408 1.370 -0.179" Properties=species:S:1:pos:R:3 pbc="T T T"
O -0.361 -0.941 1.691
O -0.465 -1.628 -1.005
Al 0.000 0.000 0.000
P -2.204 0.685 -0.089
La -3.030 -1.884 0.596
```

***

A crystal of La2AlRuO relaxed with PBEsol, computed with meta-GGA SCAN.

Computed properties:
total moment = 0.000 μB/atom
DOS at the Fermi energy = 2.9 states/eV/cell
VASP energy = -0.99898 hartree per atom
raw formation energy = -0.1798 eV per atom

extended XYZ file:
```
5
Lattice="3.499 0.000 0.000 0.000 5.600 0.000 0.000 0.000 5.600" Properties=species:S:1:pos:R:3 pbc="T T T"
O 1.750 0.000 0.000
Ru 1.750 2.800 2.800
Al 0.000 0.000 0.000
La 0.000 2.800 0.000
La 0.000 0.000 2.800
```

***

A crystal of SrLaAlO4 relaxed with PBEsol, computed with meta-GGA SCAN.

Computed properties:
total moment = 0.000 μB/atom
DOS at the Fermi energy = 0.0 states/eV/cell
VASP energy = -0.64339 hartree per atom
raw formation energy = -3.4993 eV per atom

extended XYZ file:
```
7
Lattice="3.754 0.000 0.000 0.000 3.754 0.000 -1.877 -1.877 6.209" Properties=species:S:1:pos:R:3 pbc="T T T"
O 0.000 1.877 0.053
O 1.877 1.877 4.172
O 1.877 0.000 0.053
O 0.000 0.000 1.998
Sr 0.000 0.000 4.441
Al 1.877 1.877 6.148
La 1.877 1.877 1.760
```

***

A crystal of SrLa2Al2O7 relaxed with PBEsol, computed with meta-GGA SCAN.

Computed properties:
total moment = 0.000 μB/atom
DOS at the Fermi energy = 0.0 states/eV/cell
VASP energy = -0.64446 hartree per atom
raw formation energy = -3.5694 eV per atom

extended XYZ file:
```
12
Lattice="3.746 0.000 0.000 0.000 3.746 0.000 -1.873 -1.873 10.181" Properties=species:S:1:pos:R:3 pbc="T T T"
La 0.000 0.000 6.505
La 1.873 1.873 3.676
O 1.873 1.873 6.091
O 0.000 0.000 0.000
O 1.873 0.000 2.036
O 1.873 0.000 8.145
O 0.000 0.000 4.089
O 0.000 1.873 2.036
O 0.000 1.873 8.145
Al 1.873 1.873 8.335
Al 0.000 0.000 1.845
Sr 1.873 1.873 0.000
```

***

A crystal of Sr6La2Ta3Al5O24 relaxed with PBEsol, computed with meta-GGA SCAN.

Computed properties:
total moment = 0.000 μB/atom
DOS at the Fermi energy = 0.0 states/eV/cell
VASP energy = -0.68526 hartree per atom
raw formation energy = -3.4488 eV per atom

extended XYZ file:
```
40
Lattice="-0.984 -2.383 4.807 -3.868 -3.825 0.408 10.459 -14.686 -2.044" Properties=species:S:1:pos:R:3 pbc="T T T"
O -2.830 -4.733 1.739
O 7.749 -13.584 1.043
O 3.174 -8.739 2.508
O 2.632 -15.942 3.499
O -0.717 -6.596 4.302
O -3.314 -5.908 4.109
O 1.703 -9.475 0.265
O -0.231 -5.420 1.928
O 3.134 -14.727 1.050
O 4.406 -10.204 0.456
O 7.015 -16.871 -0.737
O 5.838 -15.473 1.244
O 6.324 -14.297 -1.130
O 4.604 -13.992 3.292
O 2.434 -12.154 0.664
O -2.141 -7.309 2.129
O 2.975 -4.952 -0.328
O -1.407 -4.022 3.908
O 1.004 -6.901 -0.120
O 8.922 -14.986 -0.938
O 2.474 -6.166 2.122
O 3.904 -11.419 2.907
O 8.437 -16.160 1.433
O 1.202 -10.689 2.716
La -0.936 -2.781 1.525
La 6.543 -18.112 1.647
Al -1.774 -5.663 3.020
Al 7.382 -15.230 0.152
Al 0.000 0.000 0.000
Al 5.948 -9.973 -0.631
Al -0.340 -10.920 3.803
Sr 0.523 -8.064 2.300
Sr -2.684 -8.472 4.537
Sr 3.659 -7.581 0.086
Sr 5.084 -12.829 0.872
Sr 1.949 -13.312 3.086
Sr 8.291 -12.421 -1.365
Ta 2.804 -10.447 1.586
Ta 1.382 -5.203 0.799
Ta 4.225 -15.690 2.373
```

***

A crystal of Sr3LaTaAl3O12 relaxed with PBEsol, computed with meta-GGA SCAN.

Computed properties:
total moment = 0.000 μB/atom
DOS at the Fermi energy = 9.9 states/eV/cell
VASP energy = -0.62607 hartree per atom
energy above the lowest structure with this stoichiometry = 0.30 eV per formula unit
raw formation energy = -3.3090 eV per atom

extended XYZ file:
```
20
Lattice="-3.052 -0.663 2.302 0.442 -7.492 -1.572 4.715 -1.001 5.964" Properties=species:S:1:pos:R:3 pbc="T T T"
O -0.329 -0.624 2.655
O -1.390 -2.236 0.783
O 0.254 -3.708 -0.732
O -1.190 -5.909 -0.010
O 1.983 -1.089 5.587
O -0.124 -4.272 1.875
O 2.332 -0.551 2.934
O 0.017 -0.029 0.015
O 1.155 -6.449 2.944
O 2.554 -4.206 2.175
O 2.230 -4.816 4.840
O 0.906 -2.707 3.692
Al 3.405 -5.071 6.325
Al 1.269 -8.317 2.557
Al 1.063 -4.596 3.356
Sr 3.794 -6.249 3.231
Sr 1.560 -5.806 0.396
Sr 3.605 -2.700 4.002
Ta 3.615 -8.799 5.529
La 1.360 -2.241 1.159
```

***

A crystal of Sr3LaTaAl3O12 relaxed with PBEsol, computed with meta-GGA SCAN.

Computed properties:
total moment = 0.045 μB/atom
DOS at the Fermi energy = 15.7 states/eV/cell
VASP energy = -0.62661 hartree per atom
energy above the lowest structure with this stoichiometry = 0.00 eV per formula unit
raw formation energy = -3.3238 eV per atom

extended XYZ file:
```
40
Lattice="7.676 0.006 0.000 -0.036 7.676 0.000 0.000 0.000 7.707" Properties=species:S:1:pos:R:3 pbc="T T T"
O 1.945 3.809 0.000
O 1.930 0.051 0.000
O 1.962 1.973 5.777
O 5.709 7.631 0.000
O 3.802 5.698 3.853
O 1.920 5.731 5.736
O 3.798 1.966 0.000
O 5.678 5.709 5.777
O 5.720 1.951 1.971
O 1.962 1.973 1.930
O 1.895 7.676 3.853
O 5.694 3.873 0.000
O 1.963 3.848 3.853
O 7.665 1.938 3.853
O 3.842 5.716 0.000
O 5.720 1.951 5.736
O 5.677 3.833 3.853
O 5.678 5.709 1.930
O -0.025 5.744 3.853
O 3.837 1.984 3.853
O 5.744 0.006 3.853
O 0.040 1.931 0.000
O 7.599 5.751 0.000
O 1.920 5.731 1.971
Ta 1.866 5.784 0.000
Ta 5.774 1.898 0.000
Sr 3.838 0.003 2.028
Sr 0.000 0.000 2.037
Sr -0.018 3.838 5.678
Sr -0.018 3.838 2.028
Sr 0.000 0.000 5.669
Sr 3.838 0.003 5.678
La 3.820 3.841 5.688
La 3.820 3.841 2.019
Al 1.918 1.928 0.000
Al 1.878 5.772 3.853
Al 1.902 1.913 3.853
Al 5.722 5.754 0.000
Al 5.762 1.910 3.853
Al 5.737 5.769 3.853
```

***

Question: Among the records above, which one has the lowest VASP energy?
Answer: La3AlO

***

Question: Look up the VASP energy of the eleventh one.
Answer: -0.62607 hartree per atom

***

Question: Which formula does entry 10 have?
Answer: Sr6La2Ta3Al5O24

***

Question: Which of these has the lowest raw formation energy?
Answer: SrLa2Al2O7